[1]
The following is a DFT calculation (PBE) of an optimized crystal structure of Mg4C23.

abc: 7.134 7.134 7.298
angles: 90.00 90.00 90.00
Space group P4_2/mmc (No. 131)
One atom of each set of equivalent atoms:
Mg  0.000  0.000  0.250
Mg  0.000  0.500  0.000
Mg  0.300  0.500  0.500
C  0.000  0.275  0.500
C  0.000  0.382  0.285
C  0.192  0.201  0.000
C  0.192  0.317  0.182
C  0.298  0.500  0.173
C  0.500  0.500  0.250

Output
Density in g/cm3: 3.3
Energy in eV/atom: -7.20
Formation energy in kcal/mol of atoms: 20.691

---

[2]
The following is a DFT calculation (PBE) of an optimized crystal structure of MgC4.

abc: 4.682 4.682 4.682
angles: 90.00 90.00 90.00
Space group Im-3m (No. 229)
One atom of each set of equivalent atoms:
Mg  0.000  0.000  0.000
C  0.250  0.250  0.250

Output
Energy above the most stable polymorph in this dataset in meV per atom: 1819
Density in g/cm3: 2.3
Energy in eV/atom: -4.26
Formation energy in kcal/mol of atoms: 79.389

---

[3]
The following is a DFT calculation (PBE) of an optimized crystal structure of MgC2.

abc: 2.580 6.238 6.787
angles: 90.00 90.00 90.00
Space group Immm (No. 71)
One atom of each set of equivalent atoms:
Mg  0.000  0.000  0.199
C  0.000  0.243  0.500
C  0.000  0.383  0.000

Output
Energy above the most stable polymorph in this dataset in meV per atom: 81
Density in g/cm3: 2.9
Energy in eV/atom: -6.17
Formation energy in kcal/mol of atoms: 11.766

---

[4]
The following is a DFT calculation (PBE) of an optimized crystal structure of MgC.

abc: 2.6517 2.6517 30.6778
angles: 90.00 90.00 120.00
Space group R-3m (No. 166, hexagonal axes)
One atom of each set of equivalent atoms:
Mg  0.0000  0.0000  0.1205
C  0.0000  0.0000  0.3333

Output
Energy above the most stable polymorph in this dataset in meV per atom: 260
Density in g/cm3: 1.9
Energy in eV/atom: -4.85
Formation energy in kcal/mol of atoms: 12.920

---

[5]
The following is a DFT calculation (PBE) of an optimized crystal structure of MgC.

abc: 2.889 3.655 4.497
angles: 90.00 105.20 90.00
Space group P2_1/m (No. 11)
One atom of each set of equivalent atoms:
Mg  0.012  0.250  0.251
C  0.494  0.250  0.755

Output
Energy above the most stable polymorph in this dataset in meV per atom: 917
Density in g/cm3: 2.6
Energy in eV/atom: -4.19
Formation energy in kcal/mol of atoms: 28.058

---

[6]
The following is a DFT calculation (PBE) of an optimized crystal structure of Mg4C3.

abc: 3.037 3.037 19.962
angles: 90.00 90.00 90.00
Space group I4/mmm (No. 139)
One atom of each set of equivalent atoms:
Mg  0.000  0.000  0.067
Mg  0.000  0.000  0.301
C  0.000  0.000  0.176
C  0.000  0.000  0.500

Output
Energy above the most stable polymorph in this dataset in meV per atom: 0
Density in g/cm3: 2.4
Energy in eV/atom: -4.01
Formation energy in kcal/mol of atoms: 19.804